Compound: KMnS2Cl
Source: Alexandria via LeMat-Bulk
Functional: PBE
Structure: relaxed

Space group = P4/mmm, No. 123
Theoretical density = 2.87 g/cm³
ΔE_f (raw) = -0.74 eV per atom

```
KMnS2Cl
1.0
-4.532 0.136 -0.798
-0.253 -4.549 0.661
-0.883 0.798 5.149
K Mn S Cl
1 1 2 1
Direct
0.500 0.500 0.500 K
0.000 0.000 0.000 Mn
0.000 0.500 0.000 S
0.500 0.000 0.000 S
0.000 0.000 0.500 Cl
```